A relaxed structure of CaAsPbSe2, computed with GGA-PBE.

Structure (POSCAR):
```
CaAsPbSe2
1.0
5.7934 0.0000 0.0000
0.0000 5.7934 0.0000
0.0000 0.0000 5.5619
Ca Se As Pb
1 2 1 1
Direct
0.5000 0.5000 0.5000 Ca
0.0000 0.5000 0.0000 Se
0.5000 0.0000 0.0000 Se
0.0000 0.0000 0.5000 As
0.0000 0.0000 0.0000 Pb
```

## Properties
Energy in Ry/atom: -0.2522
Energy relative to the lowest polymorph listed for this composition in meV/atom: 8.9
Volume in Å³/atom: 37.3
Symmetry: No. 123